# 1
Entry from OQMD: a geometry-optimized RbNbSb structure (PBE).

Structure (POSCAR):
```
RbNbSb
1.0
0.016 3.387 4.122
-0.476 5.245 -0.854
-4.486 2.533 1.390
Nb Rb Sb
1 1 1
Cartesian
-1.236 2.791 1.164
0.000 0.000 0.000
-3.709 8.373 3.493
```

energy above the most stable polymorph in this dataset: 0.794 eV/atom

***

# 2
Entry from OQMD: a geometry-optimized RbNb3Sb5 structure (PBE).

Structure (POSCAR):
```
RbNb3Sb5
1.0
5.798 0.000 0.000
-2.899 5.021 0.000
0.000 0.000 9.632
Nb Rb Sb
3 1 5
Cartesian
2.899 0.000 4.816
-1.449 2.510 4.816
1.449 2.510 4.816
0.000 0.000 0.000
2.899 1.674 2.429
0.000 3.347 2.429
0.000 0.000 4.816
2.899 1.674 7.203
0.000 3.347 7.203
```

uncorrected energy: -6.037 eV per atom

***

# 3
Entry from OQMD: a geometry-optimized RbNbSb4 structure (PBE).

Structure (POSCAR):
```
RbNbSb4
1.0
0.279 0.561 5.368
-1.199 -3.004 4.329
9.502 -3.107 -2.854
Nb Rb Sb
1 1 4
Cartesian
6.496 -2.546 -0.504
1.825 -2.914 7.406
4.114 -3.046 4.603
5.968 -3.159 2.352
7.746 -4.764 5.333
9.097 -3.330 -1.513
```

uncorrected energy: -4.753 eV per atom